No. 1
La2Pm3Er: relaxed, PBE.

POSCAR file:
```
La2Pm3Er
1.0
4.590 -5.022 0.000
4.590 5.022 0.000
-1.864 0.000 9.011
La Pm Er
4 6 2
direct
0.121 0.627 0.876
0.373 0.879 0.624
0.627 0.121 0.376
0.879 0.373 0.124
0.168 0.335 0.500
0.335 0.168 0.000
0.416 0.584 0.250
0.584 0.416 0.750
0.665 0.832 0.000
0.832 0.665 0.500
0.083 0.917 0.250
0.917 0.083 0.750
```

volume = 34.62 Å³/atom
total energy = -56.70 eV for the cell shown
ΔE_f = 54 meV/atom
energy relative to the lowest polymorph listed for this composition = 0.0 meV/atom


No. 2
La2Pm3Er3: relaxed, PBE.

POSCAR file:
```
La2Pm3Er3
1.0
1.815 -8.896 0.000
1.815 8.896 0.000
0.000 0.000 16.995
La Pm Er
4 6 6
direct
0.218 0.782 0.650
0.218 0.782 0.850
0.782 0.218 0.150
0.782 0.218 0.350
0.357 0.643 0.515
0.357 0.643 0.985
0.392 0.608 0.750
0.608 0.392 0.250
0.643 0.357 0.015
0.643 0.357 0.485
0.007 0.993 0.601
0.007 0.993 0.899
0.422 0.578 0.250
0.578 0.422 0.750
0.993 0.007 0.101
0.993 0.007 0.399
```

volume = 34.31 Å³/atom
total energy = -73.71 eV for the cell shown
ΔE_f = 118 meV/atom
energy relative to the lowest polymorph listed for this composition = 94.4 meV/atom


No. 3
La2Pm3Er6: relaxed, PBE.

POSCAR file:
```
La2Pm3Er6
1.0
3.104 -5.294 0.000
3.104 5.294 0.000
-1.766 0.000 11.559
La Pm Er
2 3 6
direct
0.176 0.824 0.000
0.824 0.176 0.000
0.000 0.000 0.500
0.336 0.664 0.500
0.664 0.336 0.500
0.074 0.408 0.746
0.260 0.260 0.250
0.408 0.074 0.746
0.592 0.926 0.254
0.740 0.740 0.750
0.926 0.592 0.254
```

volume = 34.53 Å³/atom
total energy = -49.47 eV for the cell shown
ΔE_f = 183 meV/atom
energy relative to the lowest polymorph listed for this composition = 0.0 meV/atom


No. 4
LaPm12Er7: relaxed, PBE.

POSCAR file:
```
LaPm12Er7
1.0
7.603 4.389 3.375
-7.603 4.389 3.375
0.000 -8.779 3.375
La Pm Er
1 12 7
direct
0.000 0.000 0.000
0.050 0.297 0.408
0.222 0.669 0.375
0.297 0.408 0.050
0.331 0.625 0.778
0.375 0.222 0.669
0.408 0.050 0.297
0.592 0.950 0.703
0.625 0.778 0.331
0.669 0.375 0.222
0.703 0.592 0.950
0.778 0.331 0.625
0.950 0.703 0.592
0.009 0.894 0.322
0.106 0.678 0.991
0.322 0.009 0.894
0.500 0.500 0.500
0.678 0.991 0.106
0.894 0.322 0.009
0.991 0.106 0.678
```

volume = 33.79 Å³/atom
total energy = -90.76 eV for the cell shown
ΔE_f = 156 meV/atom


No. 5
LaPm3Er: relaxed, PBE.

POSCAR file:
```
LaPm3Er
1.0
6.288 0.000 0.000
1.063 6.234 0.000
3.127 2.671 8.723
La Pm Er
2 6 2
direct
0.000 0.000 0.000
0.500 0.500 0.500
0.001 0.603 0.796
0.497 0.097 0.302
0.499 0.698 0.101
0.501 0.302 0.899
0.503 0.903 0.698
0.999 0.397 0.204
0.001 0.200 0.598
0.999 0.800 0.402
```

volume = 34.19 Å³/atom
total energy = -47.28 eV for the cell shown
ΔE_f = 21 meV/atom
energy relative to the lowest polymorph listed for this composition = 0.0 meV/atom


No. 6
La4PmEr4: relaxed, PBE.

POSCAR file:
```
La4PmEr4
1.0
-5.437 5.437 2.575
5.437 -5.437 2.575
5.437 5.437 -2.575
La Pm Er
4 1 4
direct
0.167 0.167 0.335
0.167 0.833 0.000
0.833 0.167 0.000
0.833 0.833 0.665
0.500 0.500 0.000
0.162 0.500 0.662
0.500 0.162 0.662
0.500 0.838 0.338
0.838 0.500 0.338
```

volume = 33.83 Å³/atom
total energy = -42.43 eV for the cell shown
ΔE_f = 32 meV/atom
energy relative to the lowest polymorph listed for this composition = 0.0 meV/atom


No. 7
La4PmEr15: relaxed, PBE.

POSCAR file:
```
La4PmEr15
1.0
5.059 0.000 0.000
0.000 5.059 0.000
0.000 0.000 25.058
La Pm Er
4 1 15
direct
0.000 0.000 0.100
0.000 0.000 0.300
0.000 0.000 0.700
0.000 0.000 0.900
0.000 0.000 0.500
0.000 0.500 0.000
0.000 0.500 0.200
0.000 0.500 0.401
0.000 0.500 0.599
0.000 0.500 0.800
0.500 0.000 0.000
0.500 0.000 0.200
0.500 0.000 0.401
0.500 0.000 0.599
0.500 0.000 0.800
0.500 0.500 0.100
0.500 0.500 0.301
0.500 0.500 0.500
0.500 0.500 0.699
0.500 0.500 0.900
```

volume = 32.06 Å³/atom
total energy = -92.22 eV for the cell shown
ΔE_f = 34 meV/atom


No. 8
La4Pm2Er3: relaxed, PBE.

POSCAR file:
```
La4Pm2Er3
1.0
3.633 0.000 0.000
-1.817 3.147 0.000
0.000 0.000 27.331
La Pm Er
4 2 3
direct
0.000 0.000 0.000
0.000 0.000 0.212
0.333 0.667 0.331
0.333 0.667 0.545
0.000 0.000 0.661
0.000 0.000 0.868
0.000 0.000 0.438
0.333 0.667 0.105
0.333 0.667 0.765
```

volume = 34.72 Å³/atom
total energy = -42.39 eV for the cell shown
ΔE_f = 57 meV/atom
energy relative to the lowest polymorph listed for this composition = 0.0 meV/atom


> Which value of total energy does entry 4 give?

-90.76 eV for the cell shown


> volume of number 1 (La2Pm3Er)?

34.62 Å³/atom